Record 1
## ReNiAs3 (PBE-GGA)

Data for crystalline ReNiAs3 at its relaxed geometry.

Values from the calculation:
ΔH_f (0 K) = 0.971 eV per atom
total moment = 0.0 μB/f.u.
E above lowest polymorph = 0.000 eV per formula unit

POSCAR file:
```
ReNiAs3
1.0
4.8006 0.0000 0.0000
0.0000 4.8006 0.0000
0.0000 0.0000 4.8006
Re Ni As
1 1 3
Cartesian
0.0000 0.0000 0.0000
2.4003 2.4003 2.4003
0.0000 0.0000 2.4003
0.0000 2.4003 0.0000
2.4003 0.0000 0.0000
```

***

Record 2
## ReNi2As8 (PBE-GGA)

Data for crystalline ReNi2As8 at its relaxed geometry.

Values from the calculation:
ΔH_f (0 K) = 0.137 eV per atom
total moment = 0.0 μB/f.u.

POSCAR file:
```
ReNi2As8
1.0
6.5767 -3.7785 0.0000
6.5767 3.7785 0.0000
-0.5948 0.0000 4.5612
Re Ni As
1 2 8
Cartesian
0.0000 0.0000 0.0000
2.0485 0.0000 3.9502
10.5102 0.0000 0.6110
1.8909 0.0000 1.5907
5.4360 1.9154 1.2725
7.1226 1.9154 3.2887
4.3179 0.0000 4.2889
8.2407 0.0000 0.2723
5.4360 -1.9154 1.2725
7.1226 -1.9154 3.2887
10.6677 0.0000 2.9704
```

***

Record 3
## ReNiAs2 (PBE-GGA)

Data for crystalline ReNiAs2 at its relaxed geometry.

Values from the calculation:
ΔH_f (0 K) = 0.210 eV per atom
total moment = 0.0 μB/f.u.
E above lowest polymorph = 0.800 eV per formula unit

POSCAR file:
```
ReNiAs2
1.0
4.0114 -1.5421 0.0000
4.0114 1.5421 0.0000
-0.5724 0.0000 4.8519
Re Ni As
1 1 2
Cartesian
0.0000 0.0000 0.0000
3.7252 0.0000 2.4259
1.7302 0.0000 3.6958
5.7202 0.0000 1.1561
```

***

Record 4
## ReNiAs2 (PBE-GGA)

Data for crystalline ReNiAs2 at its relaxed geometry.

Values from the calculation:
ΔH_f (0 K) = 0.010 eV per atom
total moment = 0.0 μB/f.u.
E above lowest polymorph = 0.000 eV per formula unit

POSCAR file:
```
ReNiAs2
1.0
3.2398 0.0000 0.0000
0.0000 1.6255 5.9974
0.0000 -1.6255 5.9974
Re Ni As
1 1 2
Cartesian
0.0000 0.0000 0.0000
1.6199 0.0000 2.3391
0.0000 0.0000 7.9431
1.6199 0.0000 4.7289
```

***

Record 5
## ReNiAs (PBE-GGA)

Data for crystalline ReNiAs at its relaxed geometry.

Values from the calculation:
ΔH_f (0 K) = 0.271 eV per atom
total moment = 0.0 μB/f.u.
E above lowest polymorph = 0.149 eV per formula unit

POSCAR file:
```
ReNiAs
1.0
0.0000 2.8360 2.8360
2.8360 0.0000 2.8360
2.8360 2.8360 0.0000
Re Ni As
1 1 1
Cartesian
0.0000 0.0000 0.0000
2.8360 2.8360 2.8360
1.4180 1.4180 1.4180
```

***

Record 6
## ReNi3As (PBE-GGA)

Data for crystalline ReNi3As at its relaxed geometry.

Values from the calculation:
ΔH_f (0 K) = 1.067 eV per atom
total moment = 0.0 μB/f.u.
E above lowest polymorph = 0.000 eV per formula unit

POSCAR file:
```
ReNi3As
1.0
4.2137 0.0000 0.0000
0.0000 4.2137 0.0000
0.0000 0.0000 4.2137
Re Ni As
1 3 1
Cartesian
0.0000 0.0000 0.0000
0.0000 2.1069 2.1069
2.1069 0.0000 2.1069
2.1069 2.1069 0.0000
2.1069 2.1069 2.1069
```

***

Record 7
## ReNiAs2 (PBE-GGA)

Data for crystalline ReNiAs2 at its relaxed geometry.

Values from the calculation:
ΔH_f (0 K) = 0.159 eV per atom
total moment = 0.0 μB/f.u.
E above lowest polymorph = 0.599 eV per formula unit

POSCAR file:
```
ReNiAs2
1.0
1.4549 0.8400 10.1589
-1.4549 0.8400 10.1589
0.0000 -1.6800 10.1589
Re Ni As
1 1 2
Cartesian
0.0000 0.0000 0.0000
0.0000 0.0000 8.0383
0.0000 0.0000 16.4784
0.0000 0.0000 22.2206
```

***

Record 8
## ReNiAs6 (PBE-GGA)

Data for crystalline ReNiAs6 at its relaxed geometry.

Values from the calculation:
ΔH_f (0 K) = -0.073 eV per atom
total moment = 0.0 μB/f.u.

POSCAR file:
```
ReNiAs6
1.0
5.9811 -4.2941 0.0000
5.9811 4.2941 0.0000
-5.9556 0.0000 6.0870
Re Ni As
2 2 12
Cartesian
2.9905 2.1471 0.0000
2.9905 -2.1471 0.0000
0.0127 2.1471 3.0435
0.0127 -2.1471 3.0435
2.0669 3.0189 3.9650
3.9397 3.0189 2.1219
-0.8392 1.3345 5.1642
1.1545 0.0000 3.0286
2.9428 0.0000 1.2261
6.8458 1.3345 0.9228
-0.8392 -1.3345 5.1642
3.0638 0.0000 4.8609
4.8521 0.0000 3.0583
6.8458 -1.3345 0.9228
2.0669 -3.0189 3.9650
3.9397 -3.0189 2.1219
```

***

Record 9
## ReNiAs2 (PBE-GGA)

Data for crystalline ReNiAs2 at its relaxed geometry.

Values from the calculation:
ΔH_f (0 K) = 0.265 eV per atom
total moment = 0.0 μB/f.u.
E above lowest polymorph = 1.023 eV per formula unit

POSCAR file:
```
ReNiAs2
1.0
4.2963 0.0000 0.0000
0.0000 4.2963 0.0000
0.0000 0.0000 3.1216
Re Ni As
1 1 2
Cartesian
0.0000 0.0000 0.0000
2.1482 2.1482 0.0000
0.0000 2.1482 1.5608
2.1482 0.0000 1.5608
```

***

Record 10
## ReNiAs2 (PBE-GGA)

Data for crystalline ReNiAs2 at its relaxed geometry.

Values from the calculation:
ΔH_f (0 K) = 0.476 eV per atom
total moment = 0.0 μB/f.u.
E above lowest polymorph = 1.866 eV per formula unit

POSCAR file:
```
ReNiAs2
1.0
3.1331 0.0000 0.0000
0.0000 3.9650 0.0000
0.0000 0.0000 4.8685
Re Ni As
1 1 2
Cartesian
0.0000 0.0000 0.0000
1.5665 0.0000 2.4342
0.0000 1.9825 2.4342
1.5665 1.9825 0.0000
```

***

Record 11
## ReNiAs2 (PBE-GGA)

Data for crystalline ReNiAs2 at its relaxed geometry.

Values from the calculation:
ΔH_f (0 K) = 0.622 eV per atom
total moment = 0.0 μB/f.u.
E above lowest polymorph = 2.449 eV per formula unit

POSCAR file:
```
ReNiAs2
1.0
0.0000 3.1108 3.1108
3.1108 0.0000 3.1108
3.1108 3.1108 0.0000
Re Ni As
1 1 2
Cartesian
0.0000 0.0000 0.0000
4.6662 4.6662 4.6662
1.5554 1.5554 1.5554
3.1108 3.1108 3.1108
```

***

Record 12
## ReNiAs4 (PBE-GGA)

Data for crystalline ReNiAs4 at its relaxed geometry.

Values from the calculation:
ΔH_f (0 K) = 1.095 eV per atom
total moment = 0.0 μB/f.u.

POSCAR file:
```
ReNiAs4
1.0
0.0000 3.7280 3.7280
3.7280 0.0000 3.7280
3.7280 3.7280 0.0000
Re Ni As
1 1 4
Cartesian
0.0000 0.0000 0.0000
1.8640 1.8640 1.8640
4.6626 2.7934 2.7934
2.7934 4.6626 2.7934
2.7934 2.7934 4.6626
4.6626 4.6626 4.6626
```